Entry 1:
# TmNp4P5

TmNp4P5 after structural relaxation (PBE-GGA, Alexandria via LeMat-Bulk).

Lattice parameters (Å, degrees): 10.4719 10.4719 10.4719 158.22 149.02 38.19
Last column: nearest neighbours and their distance in Å.
Fractional positions:
1 Tm 0.0000 0.0000 0.0000  6 P 2.80-2.81
2 Np 0.2001 0.2001 0.0000  6 P 2.79-2.81
3 Np 0.4010 0.4010 0.0000  6 P 2.78-2.80
4 Np 0.5990 0.5990 0.0000  6 P 2.78-2.80
5 Np 0.7999 0.7999 0.0000  6 P 2.79-2.81
6 P 0.1008 0.6008 0.5000  4 Np 2.79-2.80, 2 Tm 2.81
7 P 0.3008 0.8008 0.5000  6 Np 2.80-2.81
8 P 0.5000 0.0000 0.5000  4 Np 2.78, 2 Tm 2.80
9 P 0.6992 0.1992 0.5000  6 Np 2.80-2.81
10 P 0.8992 0.3992 0.5000  4 Np 2.79-2.80, 2 Tm 2.81

Computed properties:
Formation energy ... -23.42 kcal/mol of atoms
Crystal system ... orthorhombic
Magnetization ... 14.94 μB/cell
Uncorrected energy ... -0.6868 Ry per atom

=====

Entry 2:
# YTmNp2P4

YTmNp2P4 after structural relaxation (PBE-GGA, Alexandria via LeMat-Bulk).

Lattice parameters (Å, degrees): 6.8638 3.9650 6.8691 90.00 109.48 90.00
Last column: nearest neighbours and their distance in Å.
Fractional positions:
1 Y 0.0000 0.0000 0.0000  6 P 2.83
2 Tm 0.0000 0.5000 0.5000  6 P 2.81
3 Np 0.5000 0.0000 0.5000  6 P 2.78
4 Np 0.5000 0.5000 0.0000  6 P 2.79-2.80
5 P 0.2539 0.0000 0.7491  3 Np 2.78-2.80, 2 Tm 2.81, 1 Y 2.83
6 P 0.2556 0.5000 0.2540  3 Np 2.78-2.79, 1 Tm 2.81, 2 Y 2.83
7 P 0.7444 0.5000 0.7460  3 Np 2.78-2.79, 1 Tm 2.81, 2 Y 2.83
8 P 0.7461 0.0000 0.2509  3 Np 2.78-2.80, 2 Tm 2.81, 1 Y 2.83

Computed properties:
Formation energy ... -28.57 kcal/mol of atoms
Crystal system ... monoclinic
Magnetization ... 7.33 μB/cell
Uncorrected energy ... -0.6281 Ry per atom

=====

Entry 3:
# TmZr2NpP4

TmZr2NpP4 after structural relaxation (PBE-GGA, Alexandria via LeMat-Bulk).

Lattice parameters (Å, degrees): 6.6237 3.8280 6.6712 90.00 109.24 90.00
Last column: nearest neighbours and their distance in Å.
Fractional positions:
1 Tm 0.0000 0.0000 0.0000  6 P 2.75
2 Zr 0.0000 0.5000 0.5000  6 P 2.68
3 Zr 0.5000 0.0000 0.5000  6 P 2.67-2.68
4 Np 0.5000 0.5000 0.0000  6 P 2.74-2.75
5 P 0.2472 0.0000 0.7402  3 Zr 2.67-2.68, 1 Tm 2.75, 2 Np 2.75
6 P 0.2541 0.5000 0.2596  3 Zr 2.68, 1 Np 2.74, 2 Tm 2.75
7 P 0.7459 0.5000 0.7404  3 Zr 2.68, 1 Np 2.74, 2 Tm 2.75
8 P 0.7528 0.0000 0.2598  3 Zr 2.67-2.68, 1 Tm 2.75, 2 Np 2.75

Computed properties:
Formation energy ... -30.58 kcal/mol of atoms
Crystal system ... monoclinic
Magnetization ... 3.66 μB/cell
Uncorrected energy ... -0.6133 Ry per atom

=====

Entry 4:
# Tm2ZrNpP4

Tm2ZrNpP4 after structural relaxation (PBE-GGA, Alexandria via LeMat-Bulk).

Lattice parameters (Å, degrees): 6.7249 3.8910 6.7367 90.00 109.28 90.00
Last column: nearest neighbours and their distance in Å.
Fractional positions:
1 Tm 0.0000 0.0000 0.0000  6 P 2.75-2.76
2 Tm 0.5000 0.5000 0.0000  6 P 2.79-2.80
3 Zr 0.0000 0.5000 0.5000  6 P 2.70-2.71
4 Np 0.5000 0.0000 0.5000  6 P 2.74-2.75
5 P 0.2432 0.0000 0.7416  2 Zr 2.71, 1 Np 2.74, 3 Tm 2.75-2.80
6 P 0.2465 0.5000 0.2550  1 Zr 2.70, 2 Np 2.75, 3 Tm 2.76-2.79
7 P 0.7535 0.5000 0.7450  1 Zr 2.70, 2 Np 2.75, 3 Tm 2.76-2.79
8 P 0.7568 0.0000 0.2584  2 Zr 2.71, 1 Np 2.74, 3 Tm 2.75-2.80

Computed properties:
Formation energy ... -31.41 kcal/mol of atoms
Crystal system ... monoclinic
Magnetization ... 3.83 μB/cell
Uncorrected energy ... -0.5785 Ry per atom